Material: YP4N7
Method: DFT, PBE
State: relaxed

The structure belongs to space group Pmn2_1 (No. 31); the cell edges are 11.140, 5.680 and 4.740 Å and the angles 90.00°, 90.00° and 90.00°. The distinct sites, in fractional coordinates, are Y at (0.000, 0.161, 0.000), P at (0.127, 0.688, 0.356), P at (0.233, 0.223, 0.350), N at (0.000, 0.809, 0.246), N at (0.121, 0.401, 0.272), N at (0.140, 0.738, 0.689) and N at (0.247, 0.788, 0.190).

Its formation energy without anion corrections is -0.33 eV per atom. The value obtained for the density of states at the Fermi level is 6.82 states/eV per cell. Its volume is 12.5 A^3/atom. The total DFT energy (no corrections) is -7.529 eV/atom.